No. 1
HfMnSb3: optimized geometry, PBEsol.

Cell: 4.9523 4.9523 4.9523 Å, 90.00 90.00 90.00°
Site moments in Bohr magnetons follow the coordinates.
Positions (direct):
Mn: 0.0000 0.0000 0.0000  2.48
Sb: 0.0000 0.0000 0.5000  -0.01
Sb: 0.5000 0.0000 0.0000  -0.01
Sb: 0.0000 0.5000 0.0000  -0.01
Hf: 0.5000 0.5000 0.5000  0.37

Computed properties:
Volume ... 121.5 Å³ per cell
Space-group type ... Pm-3m (221)
Total magnetic moment ... 3.15 μB per formula unit
Mass density ... 8.2 g cm⁻³
VASP energy ... -0.4554 Ry per atom

***

No. 2
SrNbRh3: optimized geometry, PBEsol.

Cell: 4.6908 4.6908 4.6908 Å, 90.00 90.00 90.00°
Site moments in Bohr magnetons follow the coordinates.
Positions (direct):
Nb: 0.5000 0.5000 0.5000  1.07
Sr: 0.0000 0.0000 0.0000  0.01
Rh: 0.5000 0.0000 0.0000  -0.04
Rh: 0.0000 0.5000 0.0000  -0.04
Rh: 0.0000 0.0000 0.5000  -0.04

Computed properties:
Volume ... 103.2 Å³ per cell
Space-group type ... Pm-3m (221)
Total magnetic moment ... 1.19 μB per formula unit
Mass density ... 7.9 g cm⁻³
Formation enthalpy at 0 K ... 2.034 eV/atom

***

No. 3
CdTcIBr2: optimized geometry, PBEsol.

Cell: 5.2428 5.2428 5.8829 Å, 90.00 90.00 90.00°
Site moments in Bohr magnetons follow the coordinates.
Positions (direct):
Br: 0.5000 0.0000 0.0000  0.03
Br: 0.0000 0.5000 0.0000  0.03
Tc: 0.5000 0.5000 0.5000  4.15
Cd: 0.0000 0.0000 0.0000  0.00
I: 0.0000 0.0000 0.5000  0.03

Computed properties:
Volume ... 161.7 Å³ per cell
Space-group type ... P4/mmm (123)
Total magnetic moment ... 5.02 μB per formula unit
Mass density ... 5.1 g cm⁻³
VASP energy ... -0.2125 Ry per atom

***

No. 4
MgSb2Cl: optimized geometry, PBEsol.

Cell: 3.4704 5.2467 5.1817 Å, 90.00 90.00 90.00°
Positions (direct):
Sb: 0.0000 0.0000 0.0000
Sb: 0.5000 0.5000 0.0000
Mg: 0.0000 0.5000 0.5000
Cl: 0.5000 0.0000 0.5000

Computed properties:
Energy above the most stable polymorph in this dataset ... 1.162 eV per formula unit
Volume ... 94.3 Å³ per cell
Space-group type ... Pmmm (47)
Total magnetic moment ... 0.00 μB per formula unit
Mass density ... 5.3 g cm⁻³

***

No. 5
Hg2TeBr: optimized geometry, PBEsol.

Cell: 3.4482 3.4482 8.3429 Å, 90.00 90.00 90.00°
Positions (direct):
Hg: 0.5000 0.5000 0.2303
Hg: 0.0000 0.0000 0.0034
Br: 0.5000 0.5000 0.7748
Te: 0.0000 0.0000 0.4915

Computed properties:
Energy above the most stable polymorph in this dataset ... 0.538 eV per formula unit
Volume ... 99.2 Å³ per cell
Space-group type ... P4mm (99)
Total magnetic moment ... 0.00 μB per formula unit
Mass density ... 10.2 g cm⁻³

***

No. 6
Al2CrRh: optimized geometry, PBEsol.

Cell: 4.2275 4.2275 4.2275 Å, 60.00 60.00 60.00°
Site moments in Bohr magnetons follow the coordinates.
Positions (direct):
Rh: 0.5000 0.5000 0.5000  0.04
Cr: 0.0000 0.0000 0.0000  2.70
Al: 0.2500 0.2500 0.2500  -0.02
Al: 0.7500 0.7500 0.7500  -0.02

Computed properties:
Energy above the most stable polymorph in this dataset ... 0.000 eV per formula unit
Volume ... 53.4 Å³ per cell
Space-group type ... Fm-3m (225)
Total magnetic moment ... 2.89 μB per formula unit
Mass density ... 6.5 g cm⁻³
Formation enthalpy at 0 K ... -0.515 eV/atom